A plane-wave DFT calculation with PBE-GGA was carried out for a geometry-optimized Sr2AgSn structure.

## Properties
uncorrected energy	-10.93	eV per cell
V	29.30	Å³ per atom
SG	No. 216

Cell: 5.4932 5.4932 5.4932 Å, 60.00 60.00 60.00°
Last column: nearest neighbours and their distance in Å.
Positions (direct):
Sr: 0.0000 0.0000 0.0000  4 Sr 3.36, 4 Ag 3.36
Sr: 0.2500 0.2500 0.2500  4 Sn 3.36, 4 Sr 3.36
Ag: 0.7500 0.7500 0.7500  4 Sn 3.36, 4 Sr 3.36
Sn: 0.5000 0.5000 0.5000  4 Sr 3.36, 4 Ag 3.36


A plane-wave DFT calculation with PBE-GGA was carried out for a geometry-optimized RbErB structure.

## Properties
uncorrected energy	-8.58	eV per cell
V	26.81	Å³ per atom
SG	No. 216
E above lowest polymorph	0.0	meV/atom

Cell: 4.8452 4.8452 4.8452 Å, 60.00 60.00 60.00°
Last column: nearest neighbours and their distance in Å.
Positions (direct):
Rb: 0.0000 0.0000 0.0000  4 B 2.97
Er: 0.5000 0.5000 0.5000  4 B 2.97
B: 0.7500 0.7500 0.7500  4 Rb 2.97, 4 Er 2.97


A plane-wave DFT calculation with PBE-GGA was carried out for a geometry-optimized PaHgGe structure.

## Properties
uncorrected energy	-13.84	eV per cell
V	25.62	Å³ per atom
SG	No. 216
E above lowest polymorph	0.0	meV/atom

Cell: 4.7722 4.7722 4.7722 Å, 60.00 60.00 60.00°
Last column: nearest neighbours and their distance in Å.
Positions (direct):
Pa: 0.0000 0.0000 0.0000  4 Ge 2.92
Hg: 0.5000 0.5000 0.5000  4 Ge 2.92
Ge: 0.7500 0.7500 0.7500  4 Hg 2.92, 4 Pa 2.92